A relaxed Si2PAu crystal, computed with PBE.

Unit cell a=3.0654 b=3.0655 c=6.6924 alpha=90.00 beta=90.00 gamma=90.00
Closest atoms and distances in Å follow each position.
Element x y z (fractional)
Au 0.5000 0.5000 0.2500  8 Si 2.88, 4 Au 3.07
P 0.5000 0.5000 0.7500  8 Si 2.61
Si 0.0000 0.0000 0.9663  4 P 2.61, 4 Au 2.88, 1 Si 2.90
Si 0.0000 0.0000 0.5337  4 P 2.61, 4 Au 2.88, 1 Si 2.90

Calculated values
Its space group is P4/mmm (123). For the density of states at the Fermi level, the calculation gives 0.38 states/eV per atom. The electronic total energy comes out at -4.466 eV per atom.